*i*
VASP calculation (PBE) on a geometry-optimized MnV2Br6 structure.

Geometry as CIF:
```
data_MnV2Br6
_chemical_formula_sum 'Mn4 V8 Br24'
_cell_length_a 14.398
_cell_length_b 11.477
_cell_length_c 6.654
_cell_angle_alpha 90.00
_cell_angle_beta 117.24
_cell_angle_gamma 90.00
_space_group_name_H-M_alt 'C 1 2/c 1'
_space_group_IT_number 15
_space_group_name_Hall '-C 2yc'
loop_
_atom_site_label
_atom_site_fract_x
_atom_site_fract_y
_atom_site_fract_z
Mn1 0.000 0.097 0.250
V1 0.241 0.418 0.504
Br1 0.126 0.080 0.703
Br2 0.133 0.246 0.227
Br3 0.135 0.426 0.720
```

Output
V = 978 Å³ per cell
Spin magnetization = 1.1880 μB per atom

---

*ii*
VASP calculation (PBE) on a geometry-optimized MnV2Br6 structure.

Geometry as CIF:
```
data_MnV2Br6
_chemical_formula_sum 'Mn2 V4 Br12'
_cell_length_a 14.669
_cell_length_b 3.854
_cell_length_c 9.899
_cell_angle_alpha 90.00
_cell_angle_beta 110.93
_cell_angle_gamma 90.00
_space_group_name_H-M_alt 'C 1 2/m 1'
_space_group_IT_number 12
_space_group_name_Hall '-C 2y'
loop_
_atom_site_label
_atom_site_fract_x
_atom_site_fract_y
_atom_site_fract_z
Mn1 0.000 0.000 0.000
V1 0.167 0.500 0.334
Br1 0.035 0.000 0.287
Br2 0.137 0.500 0.054
Br3 0.201 0.500 0.614
```

Output
V = 523 Å³ per cell
Spin magnetization = 1.2233 μB per atom

---

The computed energies, referenced to the most stable structure and given in meV per atom, are *i* 110; *ii* 0.

---

*i*
VASP calculation (PBE) on a geometry-optimized Mn2VBr6 structure.

Geometry as CIF:
```
data_Mn2VBr6
_chemical_formula_sum 'Mn4 V2 Br12'
_cell_length_a 17.625
_cell_length_b 3.868
_cell_length_c 8.186
_cell_angle_alpha 90.00
_cell_angle_beta 107.61
_cell_angle_gamma 90.00
_space_group_name_H-M_alt 'C 1 2/m 1'
_space_group_IT_number 12
_space_group_name_Hall '-C 2y'
loop_
_atom_site_label
_atom_site_fract_x
_atom_site_fract_y
_atom_site_fract_z
Mn1 0.167 0.000 0.333
V1 0.000 0.500 0.000
Br1 0.006 0.000 0.225
Br2 0.158 0.500 0.097
Br3 0.173 0.500 0.567
```

Output
V = 532 Å³ per cell
Spin magnetization = 1.4463 μB per atom

---

*ii*
VASP calculation (PBE) on a geometry-optimized Mn2VBr6 structure.

Geometry as CIF:
```
data_Mn2VBr6
_chemical_formula_sum 'Mn4 V2 Br12'
_cell_length_a 15.010
_cell_length_b 3.606
_cell_length_c 13.044
_cell_angle_alpha 90.00
_cell_angle_beta 124.67
_cell_angle_gamma 90.00
_space_group_name_H-M_alt 'C 1 2/m 1'
_space_group_IT_number 12
_space_group_name_Hall '-C 2y'
loop_
_atom_site_label
_atom_site_fract_x
_atom_site_fract_y
_atom_site_fract_z
Mn1 0.212 0.000 0.284
V1 0.000 0.500 0.000
Br1 0.042 0.500 0.218
Br2 0.162 0.000 0.560
Br3 0.203 0.500 0.108
```

Output
V = 581 Å³ per cell
Spin magnetization = 1.4445 μB per atom

---

The computed energies, referenced to the most stable structure and given in meV per atom, are *i* 0; *ii* 204.

---

*i*
VASP calculation (PBE) on a geometry-optimized MnWBr structure.

Geometry as CIF:
```
data_MnWBr
_chemical_formula_sum 'Mn1 W1 Br1'
_cell_length_a 4.4423
_cell_length_b 4.4423
_cell_length_c 2.9296
_cell_angle_alpha 90.00
_cell_angle_beta 90.00
_cell_angle_gamma 120.00
_space_group_name_H-M_alt 'P 3 m 1'
_space_group_IT_number 156
_space_group_name_Hall 'P 3 -2"'
loop_
_atom_site_label
_atom_site_fract_x
_atom_site_fract_y
_atom_site_fract_z
Mn1 0.0000 0.0000 0.0000
W1 0.6667 0.3333 0.4991
Br1 0.3333 0.6667 0.4982
```

Output
V = 50 Å³ per cell
Spin magnetization = 0.9013 μB per atom

---

*ii*
VASP calculation (PBE) on a geometry-optimized MnWBr structure.

Geometry as CIF:
```
data_MnWBr
_chemical_formula_sum 'Mn4 W4 Br4'
_cell_length_a 3.193
_cell_length_b 5.170
_cell_length_c 12.908
_cell_angle_alpha 90.00
_cell_angle_beta 90.00
_cell_angle_gamma 90.00
_space_group_name_H-M_alt 'F m m 2'
_space_group_IT_number 42
_space_group_name_Hall 'F 2 -2'
loop_
_atom_site_label
_atom_site_fract_x
_atom_site_fract_y
_atom_site_fract_z
Mn1 0.000 0.000 0.000
W1 0.000 0.000 0.640
Br1 0.000 0.000 0.331
```

Output
V = 213 Å³ per cell
Spin magnetization = 0.7524 μB per atom

---

The computed energies, referenced to the most stable structure and given in meV per atom, are *i* 259; *ii* 0.

---

*i*
VASP calculation (PBE) on a geometry-optimized MnWBr structure.

Geometry as CIF:
```
data_MnWBr
_chemical_formula_sum 'Mn1 W1 Br1'
_cell_length_a 3.2498
_cell_length_b 3.2498
_cell_length_c 5.8428
_cell_angle_alpha 90.00
_cell_angle_beta 90.00
_cell_angle_gamma 120.00
_space_group_name_H-M_alt 'P 3 m 1'
_space_group_IT_number 156
_space_group_name_Hall 'P 3 -2"'
loop_
_atom_site_label
_atom_site_fract_x
_atom_site_fract_y
_atom_site_fract_z
Mn1 0.0000 0.0000 0.0000
W1 0.6667 0.3333 0.2360
Br1 0.3333 0.6667 0.6324
```

Output
V = 53 Å³ per cell
Spin magnetization = 0.0117 μB per atom

---

*ii*
VASP calculation (PBE) on a geometry-optimized MnWBr structure.

Geometry as CIF:
```
data_MnWBr
_chemical_formula_sum 'Mn2 W2 Br2'
_cell_length_a 3.031
_cell_length_b 3.031
_cell_length_c 12.425
_cell_angle_alpha 90.00
_cell_angle_beta 90.00
_cell_angle_gamma 90.00
_space_group_name_H-M_alt 'I 4 m m'
_space_group_IT_number 107
_space_group_name_Hall 'I 4 -2'
loop_
_atom_site_label
_atom_site_fract_x
_atom_site_fract_y
_atom_site_fract_z
Mn1 0.000 0.000 0.000
W1 0.000 0.000 0.621
Br1 0.000 0.000 0.270
```

Output
V = 114 Å³ per cell
Spin magnetization = 0.8910 μB per atom

---

*iii*
VASP calculation (PBE) on a geometry-optimized MnWBr structure.

Geometry as CIF:
```
data_MnWBr
_chemical_formula_sum 'Mn4 W4 Br4'
_cell_length_a 5.881
_cell_length_b 5.881
_cell_length_c 5.881
_cell_angle_alpha 90.00
_cell_angle_beta 90.00
_cell_angle_gamma 90.00
_space_group_name_H-M_alt 'F -4 3 m'
_space_group_IT_number 216
_space_group_name_Hall 'F -4 2 3'
loop_
_atom_site_label
_atom_site_fract_x
_atom_site_fract_y
_atom_site_fract_z
Mn1 0.000 0.000 0.000
W1 0.250 0.250 0.250
Br1 0.250 0.250 0.750
```

Output
V = 203 Å³ per cell
Spin magnetization = 0.0000 μB per atom

---

The computed energies, referenced to the most stable structure and given in meV per atom, are *i* 0; *ii* 215; *iii* 699.

---

*i*
VASP calculation (PBE) on a geometry-optimized Mn2WBr structure.

Geometry as CIF:
```
data_Mn2WBr
_chemical_formula_sum 'Mn2 W1 Br1'
_cell_length_a 3.115
_cell_length_b 3.018
_cell_length_c 7.399
_cell_angle_alpha 90.00
_cell_angle_beta 90.35
_cell_angle_gamma 90.00
_space_group_name_H-M_alt 'P 1 m 1'
_space_group_IT_number 6
_space_group_name_Hall 'P -2y'
loop_
_atom_site_label
_atom_site_fract_x
_atom_site_fract_y
_atom_site_fract_z
Mn1 0.000 0.000 0.000
Mn2 0.497 0.500 0.791
W1 0.994 0.000 0.622
Br1 0.985 0.500 0.324
```

Output
V = 70 Å³ per cell
Spin magnetization = 1.0881 μB per atom

---

*ii*
VASP calculation (PBE) on a geometry-optimized Mn2WBr structure.

Geometry as CIF:
```
data_Mn2WBr
_chemical_formula_sum 'Mn4 W2 Br2'
_cell_length_a 3.169
_cell_length_b 4.954
_cell_length_c 8.463
_cell_angle_alpha 90.00
_cell_angle_beta 90.00
_cell_angle_gamma 90.00
_space_group_name_H-M_alt 'C m m 2'
_space_group_IT_number 35
_space_group_name_Hall 'C 2 -2'
loop_
_atom_site_label
_atom_site_fract_x
_atom_site_fract_y
_atom_site_fract_z
Mn1 0.000 0.000 0.000
Mn2 0.000 0.500 0.235
W1 0.000 0.000 0.444
Br1 0.000 0.500 0.751
```

Output
V = 133 Å³ per cell
Spin magnetization = 1.2520 μB per atom

---

The computed energies, referenced to the most stable structure and given in meV per atom, are *i* 0; *ii* 265.

---

*i*
VASP calculation (PBE) on a geometry-optimized Mn2WBr structure.

Geometry as CIF:
```
data_Mn2WBr
_chemical_formula_sum 'Mn2 W1 Br1'
_cell_length_a 3.100
_cell_length_b 3.100
_cell_length_c 6.963
_cell_angle_alpha 90.00
_cell_angle_beta 90.00
_cell_angle_gamma 90.00
_space_group_name_H-M_alt 'P 4 m m'
_space_group_IT_number 99
_space_group_name_Hall 'P 4 -2'
loop_
_atom_site_label
_atom_site_fract_x
_atom_site_fract_y
_atom_site_fract_z
Mn1 0.000 0.000 0.000
Mn2 0.500 0.500 0.220
W1 0.000 0.000 0.392
Br1 0.500 0.500 0.738
```

Output
V = 67 Å³ per cell
Spin magnetization = 1.1456 μB per atom

---

*ii*
VASP calculation (PBE) on a geometry-optimized Mn2WBr structure.

Geometry as CIF:
```
data_Mn2WBr
_chemical_formula_sum 'Mn6 W3 Br3'
_cell_length_a 3.1373
_cell_length_b 3.1373
_cell_length_c 24.1484
_cell_angle_alpha 90.00
_cell_angle_beta 90.00
_cell_angle_gamma 120.00
_space_group_name_H-M_alt 'R -3 m'
_space_group_IT_number 166
_space_group_name_Hall '-R 3 2"'
loop_
_atom_site_label
_atom_site_fract_x
_atom_site_fract_y
_atom_site_fract_z
Mn1 0.0000 0.0000 0.2462
W1 0.0000 0.0000 0.5000
Br1 0.0000 0.0000 0.0000
```

Output
V = 206 Å³ per cell
Spin magnetization = 1.6394 μB per atom

---

The computed energies, referenced to the most stable structure and given in meV per atom, are *i* 136; *ii* 0.